PBE Cs4PtCl2, optimized geometry; space group = I4/mmm, No. 139; ΔE_f (raw) = -0.99 eV/atom
1.0
6.478 0.000 0.000
0.000 6.478 0.000
-3.239 -3.239 9.183
Cs Pt Cl
4 1 2
direct
0.822 0.822 0.644 Cs
0.178 0.178 0.356 Cs
0.000 0.500 0.000 Cs
0.500 0.000 0.000 Cs
0.000 0.000 0.000 Pt
0.638 0.638 0.277 Cl
0.362 0.362 0.723 Cl

***

PBE SmIn5Cl8, optimized geometry; space group = I-4, No. 82; ΔE_f (raw) = -1.22 eV/atom
1.0
-5.500 4.223 -4.364
-1.829 -7.906 -1.133
-0.314 2.018 7.935
Sm In Cl
1 5 8
direct
0.250 0.750 0.500 Sm
0.849 0.221 0.827 In
0.779 0.606 0.627 In
0.394 0.021 0.173 In
0.500 0.500 0.000 In
0.979 0.151 0.373 In
0.049 0.761 0.145 Cl
0.239 0.384 0.288 Cl
0.551 0.818 0.388 Cl
0.182 0.569 0.732 Cl
0.837 0.449 0.268 Cl
0.096 0.951 0.712 Cl
0.616 0.904 0.855 Cl
0.431 0.163 0.612 Cl

***

PBE Y2Cr, optimized geometry; space group = I4_1/amd, No. 141; calculated formation energy = 0.3659 eV/atom
1.0
-1.722 1.722 13.653
1.722 -1.722 13.653
1.722 1.722 -13.653
Y Cr
4 2
direct
0.314 0.814 0.500 Y
0.186 0.686 0.500 Y
0.564 0.564 0.000 Y
0.436 0.436 0.000 Y
0.000 0.000 0.000 Cr
0.750 0.250 0.500 Cr